[1]
# Ba3MgH

A PBEsol-optimized structure of Ba3MgH (meta-GGA SCAN, the Alexandria database).

Summary:
Magnetic moment (μB/atom): 0.15
DOS at the Fermi energy (states/eV per atom): 0.9531
Raw total energy (eV per atom): -25.5579

```
Ba3MgH
1.0
5.661 0.000 0.000
0.000 5.661 0.000
0.000 0.000 5.661
Ba Mg H
3 1 1
direct
0.000 0.000 0.500
0.000 0.500 0.000
0.500 0.000 0.000
0.500 0.500 0.500
0.000 0.000 0.000
```

***

[2]
# KLi2Ni2

A PBEsol-optimized structure of KLi2Ni2 (meta-GGA SCAN, the Alexandria database).

Summary:
Magnetic moment (μB/atom): 0.18
DOS at the Fermi energy (states/eV per atom): 0.4940
ΔH_f (0 K) (eV/f.u.): 2.667

```
KLi2Ni2
1.0
-2.231 2.231 4.645
2.231 -2.231 4.645
2.231 2.231 -4.645
K Li Ni
1 2 2
direct
0.000 0.000 0.000
0.250 0.750 0.500
0.750 0.250 0.500
0.380 0.380 0.000
0.620 0.620 0.000
```

***

[3]
# ZrNbBr2F

A PBEsol-optimized structure of ZrNbBr2F (meta-GGA SCAN, the Alexandria database).

Summary:
Magnetic moment (μB/atom): 0.06
DOS at the Fermi energy (states/eV per atom): 0.7360
Raw total energy (eV per atom): -21.7151

```
ZrNbBr2F
1.0
5.251 0.000 0.000
0.000 5.251 0.000
0.000 0.000 4.014
Zr Nb Br F
1 1 2 1
direct
0.000 0.000 0.000
0.500 0.500 0.500
0.000 0.500 0.500
0.500 0.000 0.500
0.500 0.500 0.000
```

***

Q: What is the DOS at the Fermi energy in the second record?
A: 0.4940 states/eV per atom

***

Q: What is the magnetic moment in the first record?
A: 0.15 μB/atom